Here is an optimized crystal structure of MoS2NCl from the Alexandria database. Energies are from PBE.

Geometry as POSCAR:
```
MoS2NCl
1.0
4.639 0.000 0.000
0.000 4.639 0.000
0.000 0.000 4.986
Mo N S Cl
1 1 2 1
direct
0.000 0.000 0.000
0.500 0.500 0.500
0.000 0.500 0.000
0.500 0.000 0.000
0.000 0.000 0.500
```

Computed properties:
Total magnetic moment in μB per cell: 2.49
Distance to the lowest polymorph of the same formula in meV/atom: 485
Raw formation energy in eV per formula unit: 4.37
Electronic total energy in eV per formula unit: -24.885

---

Here is an optimized crystal structure of Y3Zn8Cd3 from the Alexandria database. Energies are from PBE.

Geometry as POSCAR:
```
Y3Zn8Cd3
1.0
4.456 0.000 0.000
2.228 8.103 0.361
2.228 2.553 7.698
Y Zn Cd
3 8 3
direct
0.500 0.500 0.500
0.794 0.206 0.206
0.206 0.794 0.794
0.648 0.082 0.623
0.352 0.918 0.377
0.648 0.623 0.082
0.352 0.377 0.918
0.834 0.799 0.532
0.166 0.201 0.468
0.834 0.532 0.799
0.166 0.468 0.201
0.500 0.000 0.000
0.000 0.794 0.206
0.000 0.206 0.794
```

Computed properties:
Formation energy from the elements in eV/atom: -0.308
Total magnetic moment in μB per cell: 0.00
Electronic total energy in eV per formula unit: -36.644

---

Here is an optimized crystal structure of SbTe4As from the Alexandria database. Energies are from PBE.

Geometry as POSCAR:
```
SbTe4As
1.0
0.000 4.426 4.426
4.426 0.000 4.426
4.426 4.426 0.000
Sb Te As
1 4 1
direct
0.000 0.000 0.000
0.874 0.375 0.375
0.375 0.375 0.874
0.375 0.874 0.375
0.375 0.375 0.375
0.750 0.750 0.750
```

Computed properties:
Total magnetic moment in μB per cell: 0.00
Raw formation energy in eV per formula unit: 4.31
Electronic total energy in eV per formula unit: -17.030

---

Here is an optimized crystal structure of MgAlPb2 from the Alexandria database. Energies are from PBE.

Geometry as POSCAR:
```
MgAlPb2
1.0
5.492 0.127 0.000
-1.127 5.376 0.000
0.000 0.000 3.461
Al Mg Pb
1 1 2
direct
0.500 0.000 0.500
0.000 0.500 0.500
0.000 0.000 0.000
0.500 0.500 0.000
```

Computed properties:
Formation energy from the elements in eV/atom: 0.110
Total magnetic moment in μB per cell: 0.00
Distance to the lowest polymorph of the same formula in meV/atom: 30
Electronic total energy in eV per formula unit: -12.313

---

Here is an optimized crystal structure of RbPd2RhF8 from the Alexandria database. Energies are from PBE.

Geometry as POSCAR:
```
RbPd2RhF8
1.0
-2.583 4.949 0.862
-5.341 0.731 -1.689
-5.556 -1.013 7.682
Rb Pd Rh F
1 2 1 8
direct
0.000 0.000 0.000
0.741 0.741 0.776
0.259 0.259 0.224
0.500 0.500 0.500
0.667 0.667 0.000
0.333 0.333 0.000
0.426 0.349 0.364
0.651 0.574 0.636
0.139 0.651 0.636
0.349 0.861 0.364
0.861 0.426 0.364
0.574 0.139 0.636
```

Computed properties:
Total magnetic moment in μB per cell: 4.08
Raw formation energy in eV per formula unit: -15.51
Electronic total energy in eV per formula unit: -49.182

---

Here is an optimized crystal structure of Sm12TlSi5 from the Alexandria database. Energies are from PBE.

Geometry as POSCAR:
```
Sm12TlSi5
1.0
8.065 -0.088 -3.168
-4.212 7.174 -2.422
-0.089 0.088 8.664
Sm Tl Si
12 1 5
direct
0.548 0.819 0.729
0.452 0.181 0.271
0.910 0.181 0.729
0.090 0.819 0.271
0.703 0.680 0.384
0.297 0.320 0.616
0.297 0.680 0.977
0.703 0.320 0.023
0.802 0.571 0.769
0.198 0.429 0.231
0.198 0.967 0.769
0.802 0.033 0.231
0.000 0.500 0.500
0.625 0.625 0.000
0.375 0.375 0.000
0.500 0.114 0.614
0.500 0.886 0.386
0.000 0.000 0.000
```

Computed properties:
Total magnetic moment in μB per cell: 0.00
Raw formation energy in eV per formula unit: -9.10
Electronic total energy in eV per formula unit: -95.212

---

Q: Which of these has the highest electronic total energy?
A: MgAlPb2